{"formula": "La2Th3Ge4", "functional": "PBE-GGA", "state": "optimized geometry", "spacegroup": "No. 14", "lattice_angstrom": [[-3.512, 7.188, -0.336], [-2.241, -4.466, 6.626], [6.167, 3.212, 4.250]], "species": ["Ge", "Ge", "Th", "La", "La", "Th", "Ge", "Ge", "Th", "Ge", "Ge", "Ge", "Th", "Th", "La", "Ge", "La", "Th"], "frac_coords": [[0.678, 0.908, 0.031], [0.125, 0.502, 0.873], [0.000, 0.500, 0.500], [0.440, 0.794, 0.676], [0.560, 0.206, 0.324], [0.218, 0.233, 0.664], [0.822, 0.092, 0.531], [0.625, 0.502, 0.627], [0.718, 0.233, 0.836], [0.322, 0.092, 0.969], [0.375, 0.498, 0.373], [0.178, 0.908, 0.469], [0.500, 0.500, 0.000], [0.782, 0.767, 0.336], [0.060, 0.206, 0.176], [0.875, 0.498, 0.127], [0.940, 0.794, 0.824], [0.282, 0.767, 0.164]]}

{"formula": "La2ThGe2", "functional": "PBE-GGA", "state": "optimized geometry", "spacegroup": "No. 127", "lattice_angstrom": [[-0.376, 2.738, 3.218], [-3.528, -5.835, 4.553], [7.366, -2.273, 2.794]], "species": ["Ge", "Ge", "Ge", "La", "Th", "Ge", "La", "La", "Th", "La"], "frac_coords": [[0.000, 0.653, 0.153], [0.000, 0.847, 0.653], [0.000, 0.347, 0.847], [0.500, 0.349, 0.151], [0.000, 0.000, 0.000], [0.000, 0.153, 0.347], [0.500, 0.651, 0.849], [0.500, 0.849, 0.349], [0.000, 0.500, 0.500], [0.500, 0.151, 0.651]]}

no.,VASP energy (eV per formula unit),formation energy from the elements (meV/atom)
1,-57.47,-766
2,-30.09,-717